Compound: Ho2CoIrO6
Source: OQMD via LeMat-Bulk
Functional: PBE with a Hubbard U
Structure: relaxed

```
20
Lattice="5.2319 0.0000 0.0000 0.0000 5.7322 0.0000 -5.2163 0.0000 7.5369" Properties=species:S:1:pos:R:3 pbc="T T T"
Ho -0.1473 0.4619 1.8858
Ho -2.7555 2.4042 5.6543
Ho 0.1629 5.2703 5.6510
Ho 2.7711 3.3279 1.8826
Ir -2.6082 0.0000 3.7684
Ir 0.0000 2.8661 0.0000
Co 2.6160 0.0000 0.0000
Co 0.0078 2.8661 3.7684
O 0.6801 2.5893 1.8799
O -0.6645 3.1429 5.6570
O 3.5533 1.7818 0.4485
O -3.5377 3.9503 7.0884
O 1.7039 3.9854 4.2439
O 4.3120 4.6129 0.4755
O -0.9295 4.6479 3.3200
O 1.9436 5.4554 1.8885
O 0.9451 1.0843 4.2169
O -1.6883 1.7468 3.2929
O -1.9280 0.2768 5.6483
O -4.2964 1.1193 7.0613
```

Values from the calculation:
- VASP energy: -7.494 eV/atom